Entry 1:
# Sm3YHg6, optimized geometry, DFT GGA-PBE
# Total moment: 0.0 Bohr magnetons per cell
# Energy of formation from the pure elements: -436.8 meV per atom
# Fermi-level density of states: 7.602 states/eV/f.u.
data_Sm3YHg6
_space_group_name_H-M_alt 'P 1 21/m 1'
_space_group_IT_number 11
_space_group_name_Hall '-P 2yb'
_cell_length_a 9.3369
_cell_length_b 5.1964
_cell_length_c 11.2168
_cell_angle_alpha 90.00
_cell_angle_beta 106.18
_cell_angle_gamma 90.00
loop_
_atom_site_label
_atom_site_type_symbol
_atom_site_fract_x
_atom_site_fract_y
_atom_site_fract_z
Sm1 Sm 0.0119 0.2500 0.3865
Sm2 Sm 0.1470 0.7500 0.2070
Sm3 Sm 0.2725 0.2500 0.9919
Y1 Y 0.4390 0.2500 0.6083
Hg1 Hg 0.0366 0.7500 0.9119
Hg2 Hg 0.1586 0.2500 0.7016
Hg3 Hg 0.2639 0.7500 0.4950
Hg4 Hg 0.3439 0.2500 0.3130
Hg5 Hg 0.3594 0.7500 0.8053
Hg6 Hg 0.4381 0.7500 0.1074



Entry 2:
# Sm2Y3Hg3, optimized geometry, DFT GGA-PBE
# Total moment: 0.0 Bohr magnetons per cell
# Energy of formation from the pure elements: -373.6 meV per atom
# Fermi-level density of states: 7.803 states/eV/f.u.
data_Sm2Y3Hg3
_space_group_name_H-M_alt 'I m m m'
_space_group_IT_number 71
_space_group_name_Hall '-I 2 2'
_cell_length_a 3.7643
_cell_length_b 5.3137
_cell_length_c 22.3510
_cell_angle_alpha 90.00
_cell_angle_beta 90.00
_cell_angle_gamma 90.00
loop_
_atom_site_label
_atom_site_type_symbol
_atom_site_fract_x
_atom_site_fract_y
_atom_site_fract_z
Sm1 Sm 0.0000 0.0000 0.2311
Y1 Y 0.0000 0.0000 0.0000
Y2 Y 0.0000 0.5000 0.1193
Hg1 Hg 0.0000 0.0000 0.5000
Hg2 Hg 0.0000 0.5000 0.3843